First-principles (GGA-PBE) data for a geometry-optimized Sm4Bi2Ir structure, as listed in the Alexandria database.

Properties
calculated formation energy	-0.66	eV per atom
Fermi-level density of states	4.62	states/eV/f.u.
VASP energy	-5.7280	eV per atom

a = 7.138 Å, b = 6.755 Å, c = 8.928 Å
α = 90.00°, β = 103.58°, γ = 90.00°
Space group P2_1/m (No. 11)
Unique sites:
Sm: 0.159 0.012 0.296 (multiplicity 4)
Sm: 0.295 0.250 0.915 (multiplicity 2)
Sm: 0.306 0.750 0.658 (multiplicity 2)
Bi: 0.183 0.750 0.980 (multiplicity 2)
Bi: 0.444 0.250 0.606 (multiplicity 2)
Ir: 0.044 0.250 0.573 (multiplicity 2)